K3Dy3WO8: optimized geometry, PBE with a Hubbard U.

Unit cell a=6.8225 b=6.8225 c=7.4250 alpha=117.32 beta=117.32 gamma=60.31
Last column: nearest neighbours and their distance in Å.
Sites, in units of the cell vectors:
1 K 0.0000 0.0000 0.0000  6 O 2.80-2.82
2 K 0.0000 0.5000 0.0000  6 O 2.80-2.82
3 K 0.5000 0.0000 0.0000  6 O 2.80-2.82
4 Dy 0.0000 0.5000 0.5000  6 O 2.28-2.33
5 Dy 0.5000 0.0000 0.5000  6 O 2.28-2.33
6 Dy 0.5000 0.5000 0.5000  6 O 2.28-2.31
7 W 0.0000 0.0000 0.5000  6 O 2.11-2.15
8 O 0.2108 0.2108 0.6728  1 W 2.11, 2 Dy 2.33
9 O 0.2148 0.7451 0.6727  1 W 2.15, 2 Dy 2.31
10 O 0.2549 0.7852 0.3273  1 W 2.15, 2 Dy 2.31
11 O 0.2717 0.2717 0.3178  3 Dy 2.28
12 O 0.7283 0.7283 0.6822  3 Dy 2.28
13 O 0.7451 0.2148 0.6727  1 W 2.15, 2 Dy 2.31
14 O 0.7852 0.2549 0.3273  1 W 2.15, 2 Dy 2.31
15 O 0.7892 0.7892 0.3272  1 W 2.11, 2 Dy 2.33

Computed properties:
SG = C2/m, No. 12
Theoretical density = 5.98 Mg/m³
Electronic total energy = -6.89 eV/atom